Computed, not measured: an optimized crystal structure of Sr4PdAu2 at the PBE-GGA level of DFT.

Unit cell a=7.8115 b=7.8114 c=8.3642 alpha=105.28 beta=105.28 gamma=74.88
Last column: nearest neighbours and their distance in Å.
Fractional coordinates of all 14 atoms:
Sr1 0.6425 0.1251 0.9735  2 Pd 3.12-3.19, 3 Au 3.23-3.28
Sr2 0.6188 0.6188 0.8364  3 Au 3.23-3.26, 2 Pd 3.25-3.36
Sr3 0.1251 0.6425 0.9735  2 Pd 3.12-3.19, 3 Au 3.23-3.28
Sr4 0.1160 0.1160 0.8307  4 Au 3.24-3.35, 1 Pd 3.32
Sr5 0.1215 0.1215 0.3396  4 Au 3.23-3.32, 1 Pd 3.27
Sr6 0.6525 0.1404 0.4727  2 Pd 3.17-3.22, 4 Au 3.28-3.30
Sr7 0.1404 0.6525 0.4727  2 Pd 3.17-3.22, 4 Au 3.28-3.30
Sr8 0.6253 0.6254 0.3360  3 Au 3.22-3.37, 2 Pd 3.23-3.25
Pd1 0.8420 0.8420 0.1985  7 Sr 3.12-3.36
Pd2 0.8322 0.8322 0.6933  2 Au 2.96, 6 Sr 3.19-3.25
Au1 0.4305 0.9256 0.6148  1 Pd 2.96, 1 Au 3.06, 7 Sr 3.22-3.30
Au2 0.3401 0.3401 0.6996  2 Au 3.06, 7 Sr 3.26-3.32
Au3 0.9256 0.4304 0.6148  1 Pd 2.96, 1 Au 3.06, 7 Sr 3.22-3.30
Au4 0.3376 0.3376 0.1940  7 Sr 3.23-3.37

crystal system = monoclinic
VASP energy = -3.2755 eV/atom
E above lowest polymorph = 0 meV per atom
energy relative to the elements = -0.6362 eV per atom

***

Computed, not measured: an optimized crystal structure of SrPdAu3 at the PBE-GGA level of DFT.

Unit cell a=5.6818 b=5.6818 c=5.6818 alpha=90.00 beta=90.00 gamma=90.00
Last column: nearest neighbours and their distance in Å.
Fractional coordinates of all 5 atoms:
Au1 0.0000 0.5000 0.0000  2 Sr 2.84
Au2 0.0000 0.0000 0.5000  2 Sr 2.84
Au3 0.5000 0.0000 0.0000  2 Sr 2.84
Sr1 0.0000 0.0000 0.0000  6 Au 2.84
Pd1 0.5000 0.5000 0.5000  12 Au 4.02

crystal system = cubic
VASP energy = -2.3830 eV/atom
E above lowest polymorph = 1452 meV per atom
energy relative to the elements = 0.9583 eV per atom

***

Computed, not measured: an optimized crystal structure of SrPdAu at the PBE-GGA level of DFT.

Unit cell a=5.2600 b=4.1790 c=7.7681 alpha=74.40 beta=90.00 gamma=90.00
Last column: nearest neighbours and their distance in Å.
Fractional coordinates of all 6 atoms:
Pd1 0.5000 0.0000 0.0000  2 Pd 2.63, 2 Au 2.73
Pd2 0.0000 0.0000 0.0000  2 Pd 2.63, 2 Au 2.73
Au1 0.2500 0.1596 0.6807  2 Pd 2.73
Au2 0.7500 0.8404 0.3193  2 Pd 2.73
Sr1 0.2500 0.3721 0.2559  4 Pd 3.12, 5 Au 3.18-3.39
Sr2 0.7500 0.6279 0.7441  4 Pd 3.12, 5 Au 3.18-3.39

crystal system = orthorhombic
VASP energy = -3.8492 eV/atom
E above lowest polymorph = 213 meV per atom
energy relative to the elements = -0.4652 eV per atom

***

Computed, not measured: an optimized crystal structure of SrPdAu at the PBE-GGA level of DFT.

Unit cell a=5.7727 b=5.7099 c=5.7099 alpha=59.68 beta=59.64 gamma=59.64
Last column: nearest neighbours and their distance in Å.
Fractional coordinates of all 6 atoms:
Pd1 0.0000 0.0000 0.0000  4 Au 2.85, 2 Pd 2.89
Pd2 0.5000 0.0000 0.0000  4 Au 2.85, 2 Pd 2.89
Sr1 0.1233 0.6267 0.6267  6 Pd 3.33-3.35, 6 Au 3.35-3.37, 4 Sr 3.47-3.53
Sr2 0.8767 0.3733 0.3733  6 Pd 3.33-3.35, 6 Au 3.35-3.37, 4 Sr 3.47-3.53
Au1 0.5000 0.5000 0.0000  2 Au 2.84, 4 Pd 2.85
Au2 0.5000 0.0000 0.5000  2 Au 2.84, 4 Pd 2.85

crystal system = orthorhombic
VASP energy = -4.0621 eV/atom
E above lowest polymorph = 0 meV per atom
energy relative to the elements = -0.6781 eV per atom

***

Computed, not measured: an optimized crystal structure of SrPd2Au10 at the PBE-GGA level of DFT.

Unit cell a=5.6706 b=7.2908 c=7.2215 alpha=81.22 beta=66.88 gamma=67.11
Last column: nearest neighbours and their distance in Å.
Fractional coordinates of all 13 atoms:
Au1 0.5026 0.7787 0.2161  2 Pd 2.75, 8 Au 2.79-3.08
Au2 0.7187 0.7787 0.7839  2 Pd 2.75, 8 Au 2.79-3.08
Au3 0.9938 0.3520 0.6604  2 Pd 2.84, 7 Au 2.91-3.08
Au4 0.4974 0.2213 0.7839  2 Pd 2.75, 8 Au 2.79-3.08
Au5 0.6542 0.3520 0.3396  2 Pd 2.84, 7 Au 2.91-3.08
Au6 0.2813 0.2213 0.2161  2 Pd 2.75, 8 Au 2.79-3.08
Au7 0.5000 0.0000 0.5000  10 Au 2.79-2.96
Au8 0.0062 0.6480 0.3396  2 Pd 2.84, 7 Au 2.91-3.08
Au9 0.3458 0.6480 0.6604  2 Pd 2.84, 7 Au 2.91-3.08
Au10 0.0000 0.0000 0.5000  10 Au 2.79-2.96
Sr1 0.0000 0.0000 0.0000  16 Au 3.27-3.61, 4 Pd 3.65
Pd1 0.5000 0.5000 0.0000  8 Au 2.75-2.84, 2 Pd 2.84
Pd2 0.0000 0.5000 0.0000  8 Au 2.75-2.84, 2 Pd 2.84

crystal system = orthorhombic
VASP energy = -3.6768 eV/atom
energy relative to the elements = -0.2275 eV per atom

***

Computed, not measured: an optimized crystal structure of Sr2Pd3Au at the PBE-GGA level of DFT.

Unit cell a=5.6967 b=5.6967 c=5.6361 alpha=89.96 beta=120.38 gamma=120.02
Last column: nearest neighbours and their distance in Å.
Fractional coordinates of all 6 atoms:
Pd1 0.0000 0.0000 0.5000  2 Au 2.82, 4 Pd 2.85
Pd2 0.5000 0.5000 0.5000  2 Au 2.82, 4 Pd 2.85
Pd3 0.5000 0.0000 0.5000  2 Au 2.82, 4 Pd 2.85
Au1 0.0000 0.0000 0.0000  6 Pd 2.82
Sr1 0.7505 0.3754 0.1259  9 Pd 3.30-3.32, 3 Au 3.34, 4 Sr 3.42-3.49
Sr2 0.2495 0.6246 0.8741  9 Pd 3.30-3.32, 3 Au 3.34, 4 Sr 3.42-3.49

crystal system = trigonal
VASP energy = -4.3719 eV/atom
energy relative to the elements = -0.6687 eV per atom

***

Which formula does entry 6 have? Sr2Pd3Au

***

What is the formula in the fifth record? SrPd2Au10

***

What is the energy relative to the elements in the sixth record? -0.6687 eV per atom

***

Number 1 is which compound? Sr4PdAu2